## CuRe2Si (PBE-GGA)

Data for a geometry-optimized CuRe2Si structure.

Cell lengths 8.5656, 8.5656, 8.5656 Å; angles 18.68, 18.68, 18.68 degrees
With the nearest neighbours (Å) after each atom.
Sites, in units of the cell vectors:
Cu 0.0000 0.0000 0.0000  3 Si 2.52, 3 Re 2.77, 6 Cu 2.78
Re 0.2438 0.2438 0.2438  9 Re 2.66-2.78, 3 Cu 2.77
Re 0.4930 0.4930 0.4930  3 Si 2.63, 9 Re 2.66-2.78
Si 0.7436 0.7436 0.7436  3 Cu 2.52, 3 Re 2.63, 6 Si 2.78

Computed properties:
Total magnetization   0.0 μB per formula unit
Formation energy (no corrections)   0.07 eV/atom


## Sm4Y (PBE-GGA)

Data for a geometry-optimized Sm4Y structure.

Cell lengths 3.6182, 3.6182, 14.8732 Å; angles 96.91, 96.91, 59.99 degrees
With the nearest neighbours (Å) after each atom.
Sites, in units of the cell vectors:
Sm 0.1006 0.1006 0.3015  3 Y 3.59-3.60, 9 Sm 3.62-3.63
Sm 0.2996 0.2996 0.8995  12 Sm 3.62-3.63
Sm 0.7004 0.7004 0.1005  12 Sm 3.62-3.63
Sm 0.8994 0.8994 0.6985  3 Y 3.59-3.60, 9 Sm 3.62-3.63
Y 0.5000 0.5000 0.5000  6 Sm 3.59-3.60, 6 Y 3.62

Computed properties:
Total magnetization   0.0 μB per formula unit
Distance to the lowest polymorph of the same formula   0 kJ/mol of formula units
Energy relative to the elements   12 meV/atom


## Sm5Hf (PBE-GGA)

Data for a geometry-optimized Sm5Hf structure.

Cell lengths 7.9548, 7.9548, 4.9889 Å; angles 90.00, 90.00, 143.61 degrees
With the nearest neighbours (Å) after each atom.
Sites, in units of the cell vectors:
Sm 0.0000 0.0000 0.0000  8 Sm 3.46-3.47, 4 Hf 3.52
Sm 0.1589 0.8411 0.5000  2 Hf 3.46, 10 Sm 3.46-3.71
Sm 0.3396 0.6604 0.0000  10 Sm 3.47-3.70, 2 Hf 3.48
Sm 0.6604 0.3396 0.0000  10 Sm 3.47-3.70, 2 Hf 3.48
Sm 0.8411 0.1589 0.5000  2 Hf 3.46, 10 Sm 3.46-3.71
Hf 0.5000 0.5000 0.5000  12 Sm 3.46-3.52

Computed properties:
Total magnetization   0.0 μB per formula unit
Energy relative to the elements   113 meV/atom


## Tm5TlRu2 (PBE-GGA)

Data for a geometry-optimized Tm5TlRu2 structure.

Cell lengths 8.6573, 8.6573, 8.6573 Å; angles 127.80, 127.80, 76.96 degrees
With the nearest neighbours (Å) after each atom.
Sites, in units of the cell vectors:
Tm 0.0000 0.0000 0.0000  4 Ru 2.94
Tm 0.0280 0.5280 0.8189  3 Ru 2.79-2.91
Tm 0.2091 0.0280 0.5000  3 Ru 2.79-2.91
Tm 0.2909 0.7909 0.8189  3 Ru 2.79-2.91
Tm 0.4720 0.2909 0.5000  3 Ru 2.79-2.91
Tm 0.5000 0.5000 0.0000  4 Ru 2.94
Tm 0.5280 0.7091 0.5000  3 Ru 2.79-2.91
Tm 0.7091 0.2091 0.1811  3 Ru 2.79-2.91
Tm 0.7909 0.9720 0.5000  3 Ru 2.79-2.91
Tm 0.9720 0.4720 0.1811  3 Ru 2.79-2.91
Tl 0.2500 0.2500 0.0000  10 Tm 3.28-3.39
Tl 0.7500 0.7500 0.0000  10 Tm 3.28-3.39
Ru 0.1415 0.3585 0.5000  8 Tm 2.79-2.94, 1 Ru 3.05
Ru 0.3585 0.8585 0.2170  8 Tm 2.79-2.94, 1 Ru 3.05
Ru 0.6415 0.1415 0.7830  8 Tm 2.79-2.94, 1 Ru 3.05
Ru 0.8585 0.6415 0.5000  8 Tm 2.79-2.94, 1 Ru 3.05

Computed properties:
Total magnetization   0.0 μB per formula unit
Energy relative to the elements   -424 meV/atom


## ZrAsCl (PBE-GGA)

Data for a geometry-optimized ZrAsCl structure.

Cell lengths 4.4659, 4.4659, 3.4054 Å; angles 90.00, 90.00, 120.00 degrees
With the nearest neighbours (Å) after each atom.
Sites, in units of the cell vectors:
Zr 0.0000 0.0000 0.0000  3 Cl 2.58
As 0.6667 0.3333 0.5000  6 Zr 3.09, 6 Cl 3.09, 2 As 3.41
Cl 0.3333 0.6667 0.0000  3 Zr 2.58

Computed properties:
Total magnetization   0.0 μB per formula unit
Formation energy (no corrections)   -0.79 eV/atom
Distance to the lowest polymorph of the same formula   74 kJ/mol of formula units


## Al2HgBi2 (PBE-GGA)

Data for a geometry-optimized Al2HgBi2 structure.

Cell lengths 8.7437, 8.7437, 3.4653 Å; angles 90.00, 90.00, 90.00 degrees
With the nearest neighbours (Å) after each atom.
Sites, in units of the cell vectors:
Al 0.1377 0.3623 0.0000  6 Bi 3.07-3.11, 2 Hg 3.39, 1 Al 3.41
Al 0.3623 0.8623 0.0000  6 Bi 3.07-3.11, 2 Hg 3.39, 1 Al 3.41
Al 0.6377 0.1377 0.0000  6 Bi 3.07-3.11, 2 Hg 3.39, 1 Al 3.41
Al 0.8623 0.6377 0.0000  6 Bi 3.07-3.11, 2 Hg 3.39, 1 Al 3.41
Hg 0.0000 0.0000 0.0000  4 Al 3.39, 2 Hg 3.47, 8 Bi 3.72
Hg 0.5000 0.5000 0.0000  4 Al 3.39, 2 Hg 3.47, 8 Bi 3.72
Bi 0.1574 0.6574 0.5000  6 Al 3.07-3.11
Bi 0.3426 0.1574 0.5000  6 Al 3.07-3.11
Bi 0.6574 0.8426 0.5000  6 Al 3.07-3.11
Bi 0.8426 0.3426 0.5000  6 Al 3.07-3.11

Computed properties:
Total magnetization   0.0 μB per formula unit
Distance to the lowest polymorph of the same formula   10 kJ/mol of formula units
Energy relative to the elements   206 meV/atom


## MnNiCl4 (PBE-GGA)

Data for a geometry-optimized MnNiCl4 structure.

Cell lengths 6.2159, 3.5883, 6.4605 Å; angles 90.00, 94.73, 90.00 degrees
With the nearest neighbours (Å) after each atom.
Sites, in units of the cell vectors:
Mn 0.0000 0.0000 0.0000  6 Cl 2.53-2.54
Ni 0.5000 0.5000 0.0000  6 Cl 2.42-2.43
Cl 0.1987 0.5000 0.2145  1 Ni 2.42, 2 Mn 2.53
Cl 0.3297 0.0000 0.7930  2 Ni 2.43, 1 Mn 2.54
Cl 0.6703 0.0000 0.2070  2 Ni 2.43, 1 Mn 2.54
Cl 0.8013 0.5000 0.7855  1 Ni 2.42, 2 Mn 2.53

Computed properties:
Total magnetization   7.0 μB per formula unit
Formation energy (no corrections)   -0.82 eV/atom


## KBa3 (PBE-GGA)

Data for a geometry-optimized KBa3 structure.

Cell lengths 7.5858, 7.5858, 7.5858 Å; angles 90.00, 90.00, 90.00 degrees
With the nearest neighbours (Å) after each atom.
Sites, in units of the cell vectors:
K 0.0000 0.0000 0.0000  6 Ba 3.79
Ba 0.0000 0.0000 0.5000  2 K 3.79
Ba 0.0000 0.5000 0.0000  2 K 3.79
Ba 0.5000 0.0000 0.0000  2 K 3.79

Computed properties:
Total magnetization   2.1 μB per formula unit
Distance to the lowest polymorph of the same formula   295 kJ/mol of formula units
Energy relative to the elements   812 meV/atom